Pu8Ir5O: optimized geometry, PBE.

Cell lengths 7.332, 7.332, 7.332 Å; angles 111.54, 105.40, 111.54 degrees
Site moments in Bohr magnetons follow the coordinates.
Positions (direct):
Pu 0.152 0.724 0.998  5.19
Pu 0.002 0.154 0.726  5.19
Pu 0.728 0.244 0.347  5.13
Pu 0.653 0.381 0.897  5.13
Pu 0.516 0.619 0.272  5.13
Pu 0.572 0.846 0.848  5.19
Pu 0.274 0.276 0.428  5.19
Pu 0.103 0.756 0.484  5.13
Ir 0.006 0.343 0.129  -0.32
Ir 0.871 0.877 0.215  -0.32
Ir 0.785 0.657 0.662  -0.32
Ir 0.500 0.000 0.500  -0.31
Ir 0.338 0.123 0.994  -0.32
O 0.250 0.500 0.750  -0.12

symmetry = I-4, No. 82
spin magnetization = 41.65 μB per cell
N(E_F) = 49.96 states/eV per cell
total DFT energy (no corrections) = -173.214 eV for the cell shown
raw formation energy = -0.664 eV per atom